No. 1
Computed, not measured: crystalline BC at its relaxed geometry at the GGA-PBE level of DFT.

Output
Energy relative to the lowest polymorph listed for this composition (kJ per mole of atoms): 30.8
Energy of formation (eV/atom): 0.470
Final energy (eV/atom): -7.48

Cell lengths 7.617, 7.617, 2.717 Å; angles 90.00, 90.00, 90.00 degrees
Fractional positions:
1 C 0.389 0.847 0.000
2 C 0.611 0.153 0.000
3 C 0.649 0.840 0.500
4 C 0.847 0.611 0.000
5 C 0.351 0.160 0.500
6 C 0.153 0.389 0.000
7 C 0.160 0.649 0.500
8 C 0.840 0.351 0.500
9 B 0.673 0.234 0.500
10 B 0.397 0.068 0.000
11 B 0.932 0.397 0.000
12 B 0.327 0.766 0.500
13 B 0.766 0.673 0.500
14 B 0.234 0.327 0.500
15 B 0.068 0.603 0.000
16 B 0.603 0.932 0.000

***

No. 2
Computed, not measured: crystalline B7C5 at its relaxed geometry at the GGA-PBE level of DFT.

Output
Energy relative to the lowest polymorph listed for this composition (kJ per mole of atoms): 26.6
Energy of formation (eV/atom): 0.441
Final energy (eV/atom): -7.30

Cell lengths 4.924, 4.726, 4.644 Å; angles 94.77, 104.88, 121.79 degrees
Fractional positions:
1 B 0.451 0.150 0.438
2 B 0.348 0.723 0.726
3 B 0.367 0.658 0.101
4 B 0.725 0.039 0.407
5 B 0.693 0.322 0.114
6 B 0.498 0.581 0.489
7 B 0.050 0.721 0.145
8 C 0.145 0.855 0.532
9 C 0.909 0.902 0.630
10 C 0.363 0.320 0.141
11 C 0.992 0.985 0.977
12 C 0.709 0.996 0.051

***

No. 3
Computed, not measured: crystalline B7C5 at its relaxed geometry at the GGA-PBE level of DFT.

Output
Energy relative to the lowest polymorph listed for this composition (kJ per mole of atoms): 23.4
Energy of formation (eV/atom): 0.406
Final energy (eV/atom): -7.33

Cell lengths 4.305, 4.318, 5.600 Å; angles 107.43, 111.20, 56.25 degrees
Fractional positions:
1 C 0.562 0.179 0.438
2 C 0.660 0.670 0.829
3 C 0.595 0.070 0.911
4 C 0.252 0.740 0.775
5 C 0.905 0.488 0.078
6 B 0.799 0.452 0.565
7 B 0.676 0.723 0.302
8 B 0.012 0.026 0.978
9 B 0.323 0.316 0.662
10 B 0.318 0.645 0.318
11 B 0.359 0.230 0.122
12 B 0.037 0.959 0.523

***

No. 4
Computed, not measured: crystalline BC at its relaxed geometry at the GGA-PBE level of DFT.

Output
Energy relative to the lowest polymorph listed for this composition (kJ per mole of atoms): 23.1
Energy of formation (eV/atom): 0.391
Final energy (eV/atom): -7.56

Cell lengths 10.849, 10.849, 10.849 Å; angles 167.55, 166.01, 18.77 degrees
Fractional positions:
1 C 0.852 0.352 0.500
2 C 0.651 0.151 0.500
3 C 0.047 0.547 0.500
4 C 0.007 0.007 0.000
5 C 0.251 0.751 0.500
6 B 0.195 0.195 0.000
7 B 0.597 0.597 0.000
8 B 0.460 0.960 0.500
9 B 0.394 0.394 0.000
10 B 0.795 0.795 0.000

***

No. 5
Computed, not measured: crystalline B7C5 at its relaxed geometry at the GGA-PBE level of DFT.

Output
Energy relative to the lowest polymorph listed for this composition (kJ per mole of atoms): 23.3
Energy of formation (eV/atom): 0.405
Final energy (eV/atom): -7.33

Cell lengths 2.719, 2.651, 11.884 Å; angles 90.00, 90.00, 90.00 degrees
Fractional positions:
1 B 0.000 0.000 0.301
2 B 0.500 0.000 0.918
3 B 0.500 0.500 0.163
4 B 0.000 0.000 0.655
5 B 0.000 0.500 0.413
6 B 0.000 0.500 0.784
7 B 0.500 0.500 0.522
8 C 0.000 0.500 0.067
9 C 0.500 0.500 0.843
10 C 0.500 0.000 0.595
11 C 0.000 0.000 0.006
12 C 0.500 0.000 0.232

***

No. 6
Computed, not measured: crystalline BC at its relaxed geometry at the GGA-PBE level of DFT.

Output
Energy relative to the lowest polymorph listed for this composition (kJ per mole of atoms): 20.4
Energy of formation (eV/atom): 0.362
Final energy (eV/atom): -7.59

Cell lengths 4.414, 4.414, 4.804 Å; angles 86.24, 86.24, 33.79 degrees
Fractional positions:
1 C 0.543 0.543 0.485
2 C 0.260 0.260 0.775
3 C 0.978 0.978 0.987
4 C 0.800 0.800 0.928
5 B 0.518 0.518 0.163
6 B 0.078 0.078 0.683
7 B 0.733 0.733 0.271
8 B 0.340 0.340 0.457

***

Copy entry 6 word for word.
Computed, not measured: crystalline BC at its relaxed geometry at the GGA-PBE level of DFT.

Output
Energy relative to the lowest polymorph listed for this composition (kJ per mole of atoms): 20.4
Energy of formation (eV/atom): 0.362
Final energy (eV/atom): -7.59

Cell lengths 4.414, 4.414, 4.804 Å; angles 86.24, 86.24, 33.79 degrees
Fractional positions:
1 C 0.543 0.543 0.485
2 C 0.260 0.260 0.775
3 C 0.978 0.978 0.987
4 C 0.800 0.800 0.928
5 B 0.518 0.518 0.163
6 B 0.078 0.078 0.683
7 B 0.733 0.733 0.271
8 B 0.340 0.340 0.457